## ErTh2S3 (PBE)

Data for a relaxed structure of ErTh2S3.

Unit cell a=6.8581 b=6.8581 c=6.9709 alpha=99.41 beta=99.41 gamma=119.85
Closest atoms and distances in Å follow each position.
Sites, in units of the cell vectors:
1 Er 0.1668 0.8332 0.0000  6 S 2.72-2.75
2 Er 0.8332 0.1668 0.0000  6 S 2.72-2.75
3 Th 0.0000 0.0000 0.5000  6 S 2.83-2.90
4 Th 0.3377 0.6623 0.5000  6 S 2.84-2.89
5 Th 0.5000 0.5000 0.0000  6 S 2.82-2.84
6 Th 0.6623 0.3377 0.5000  6 S 2.84-2.89
7 S 0.0767 0.4209 0.7615  2 Er 2.74-2.75, 4 Th 2.84-2.90
8 S 0.2333 0.2333 0.2325  2 Er 2.72, 4 Th 2.82-2.88
9 S 0.4209 0.0767 0.7615  2 Er 2.74-2.75, 4 Th 2.84-2.90
10 S 0.5791 0.9233 0.2385  2 Er 2.74-2.75, 4 Th 2.84-2.90
11 S 0.7667 0.7667 0.7675  2 Er 2.72, 4 Th 2.82-2.88
12 S 0.9233 0.5791 0.2385  2 Er 2.74-2.75, 4 Th 2.84-2.90

- Raw total energy: -7.16 eV/atom
- N(E_F): 7.73 states/eV per cell
- Density: 8.99 Mg/m³